AgHg2Ir2: relaxed, PBE-GGA.

a = 7.7878 Å, b = 7.7878 Å, c = 3.1033 Å
α = 90.00°, β = 90.00°, γ = 90.00°
Closest atoms and distances in Å follow each position.
Fractional positions:
Ag 0.0000 0.0000 0.0000  2 Ag 3.10, 4 Ir 3.12, 8 Hg 3.25
Ag 0.5000 0.5000 0.0000  2 Ag 3.10, 4 Ir 3.12, 8 Hg 3.25
Hg 0.1814 0.3186 0.5000  6 Ir 2.71-2.84
Hg 0.3186 0.8186 0.5000  6 Ir 2.71-2.84
Hg 0.6814 0.1814 0.5000  6 Ir 2.71-2.84
Hg 0.8186 0.6814 0.5000  6 Ir 2.71-2.84
Ir 0.1173 0.6173 0.0000  1 Ir 2.58, 6 Hg 2.71-2.84
Ir 0.3827 0.1173 0.0000  1 Ir 2.58, 6 Hg 2.71-2.84
Ir 0.6173 0.8827 0.0000  1 Ir 2.58, 6 Hg 2.71-2.84
Ir 0.8827 0.3827 0.0000  1 Ir 2.58, 6 Hg 2.71-2.84

The total magnetization is 0.000 μB/f.u. For the formation energy from the elements, the calculation gives 12.71 kcal/mol of atoms. As for the space group: P4/mbm.